Record 1
InTeP: relaxed, PBE-GGA.

For the uncorrected formation energy, the calculation gives 0.08 eV/atom. As for the crystal system: monoclinic. The energy above the lowest structure with this stoichiometry comes out at 18.0 kJ/mol of formula units.

The structure belongs to space group P2_1/c (No. 14); the cell edges are 6.507, 7.510 and 6.752 Å and the angles 90.00°, 101.86° and 90.00°. The asymmetric unit holds In at (0.232, 0.074, 0.055), Te at (0.215, 0.602, 0.976) and P at (0.414, 0.115, 0.722).



Record 2
CuNi12B5: relaxed, PBE-GGA.

As for the crystal system: orthorhombic. For the total energy, the calculation gives -0.2261 Ha/atom.

The structure belongs to space group Immm (No. 71); the cell edges are 6.683, 6.712 and 7.500 Å and the angles 90.00°, 90.00° and 90.00°. The asymmetric unit holds Cu at (0.000, 0.000, 0.000), Ni at (0.000, 0.187, 0.275), Ni at (0.190, 0.500, 0.322), Ni at (0.217, 0.317, 0.000), B at (0.000, 0.000, 0.500), B at (0.000, 0.350, 0.500) and B at (0.000, 0.500, 0.119).